(1)
Below is crystalline Mn2CoTeO6 at its relaxed geometry, with properties calculated at the PBE with a Hubbard U level.

Properties
VASP energy ... -6.540 eV per atom
V ... 229.4 Å³ per cell

a b c (Å): 5.0821 5.3177 8.4905
angles (deg): 90.00 89.10 90.00
Positions (direct):
O1 0.7959 0.7907 0.5698
O2 0.2959 0.7093 0.0698
O3 0.7041 0.2907 0.9302
Mn1 0.5353 0.5584 0.7541
O4 0.2980 0.7100 0.4146
Co1 0.0000 0.5000 0.5000
O5 0.6436 0.0622 0.2901
Mn2 0.0353 0.9416 0.2541
Co2 0.5000 0.0000 0.0000
O6 0.7020 0.2900 0.5854
O7 0.1436 0.4378 0.7901
O8 0.3564 0.9378 0.7099
O9 0.2020 0.2100 0.0854
Mn3 0.9647 0.0584 0.7459
O10 0.7980 0.7900 0.9146
O11 0.2041 0.2093 0.4302
O12 0.8564 0.5622 0.2099
Te1 0.0000 0.5000 0.0000
Mn4 0.4647 0.4416 0.2459
Te2 0.5000 0.0000 0.5000

=====

(2)
Below is crystalline Mn3Co3Te2O16 at its relaxed geometry, with properties calculated at the PBE with a Hubbard U level.

Properties
VASP energy ... -6.129 eV per atom
V ... 275.3 Å³ per cell

a b c (Å): 5.8616 5.8840 9.2322
angles (deg): 91.37 90.26 120.11
Positions (direct):
O1 0.4633 0.9662 0.6576
O2 0.1541 0.8203 0.4047
O3 0.1528 0.3345 0.4083
O4 0.0362 0.5254 0.6563
O5 0.8404 0.1634 0.9049
O6 0.8470 0.6499 0.9035
Te1 0.6750 0.3257 0.0126
Co1 0.1748 0.3312 0.7756
O7 0.9867 0.9934 0.1979
O8 0.6647 0.3484 0.3868
O9 0.6555 0.8363 0.3981
O10 0.9929 0.9845 0.7023
O11 0.5442 0.5059 0.1464
Mn1 0.8243 0.6636 0.2854
O12 0.3481 0.1636 0.9029
Mn2 0.1716 0.8229 0.7896
Mn3 0.3245 0.1694 0.2914
O13 0.3425 0.6691 0.8878
O14 0.5286 0.0422 0.1564
Co2 0.6683 0.8280 0.7977
O15 0.9648 0.4798 0.1692
Te2 0.3297 0.6706 0.5112
O16 0.4882 0.5315 0.6488
Co3 0.8221 0.1744 0.2888

=====

(3)
Below is crystalline Mn3Co2Te3O16 at its relaxed geometry, with properties calculated at the PBE with a Hubbard U level.

Properties
VASP energy ... -6.095 eV per atom
V ... 298.7 Å³ per cell

a b c (Å): 6.1592 6.1592 9.1966
angles (deg): 89.04 89.04 58.91
Positions (direct):
O1 0.3237 0.8474 0.3958
O2 0.6430 0.6430 0.9134
O3 0.5115 0.9575 0.6770
Te1 0.3336 0.8305 0.7874
O4 0.4755 0.4755 0.1785
O5 0.3224 0.3224 0.4029
O6 0.8474 0.3237 0.3958
Te2 0.8305 0.3336 0.7874
Co1 0.6762 0.6762 0.4815
Mn1 0.1664 0.6653 0.2896
O7 0.1558 0.1558 0.9016
O8 0.4780 0.0414 0.1651
O9 0.0414 0.4780 0.1651
O10 0.8455 0.8455 0.3930
O11 0.0165 0.0165 0.6696
Co2 0.3472 0.3472 0.0191
O12 0.6806 0.1661 0.8896
O13 0.5190 0.5190 0.6630
O14 0.0090 0.0090 0.1801
Te3 0.1676 0.1676 0.2863
Mn2 0.6653 0.1664 0.2896
O15 0.1661 0.6806 0.8896
O16 0.9575 0.5115 0.6770
Mn3 0.8311 0.8311 0.7867

=====

(4)
Below is crystalline Mn2Co3Te3O16 at its relaxed geometry, with properties calculated at the PBE with a Hubbard U level.

Properties
VASP energy ... -5.938 eV per atom
V ... 288.8 Å³ per cell

a b c (Å): 5.9658 5.9658 9.3061
angles (deg): 89.87 89.87 60.68
Positions (direct):
Co1 0.6534 0.1559 0.2889
Co2 0.1559 0.6534 0.2889
O1 0.5221 0.5221 0.6582
Mn1 0.6736 0.6736 0.4903
Te1 0.3420 0.8387 0.7855
O2 0.0150 0.0150 0.6743
O3 0.6862 0.1823 0.8943
Co3 0.8391 0.8391 0.7893
O4 0.0304 0.4756 0.1683
O5 0.9867 0.9867 0.1847
O6 0.3129 0.8316 0.3947
O7 0.4756 0.0304 0.1683
O8 0.1823 0.6862 0.8943
O9 0.8383 0.8383 0.3976
O10 0.4705 0.4705 0.1762
Te2 0.8387 0.3420 0.7855
Mn2 0.3479 0.3479 0.0265
O11 0.5110 0.9700 0.6686
O12 0.9700 0.5110 0.6686
O13 0.8316 0.3129 0.3947
O14 0.1722 0.1722 0.9010
O15 0.3241 0.3241 0.3942
Te3 0.1556 0.1556 0.2870
O16 0.6615 0.6615 0.9068

=====

(5)
Below is crystalline Ti2Mn3Co3O16 at its relaxed geometry, with properties calculated at the PBE with a Hubbard U level.

Properties
VASP energy ... -6.943 eV per atom
V ... 253.3 Å³ per cell

a b c (Å): 5.6931 5.6931 9.0044
angles (deg): 89.21 89.21 60.23
Positions (direct):
O1 0.1622 0.1622 0.8948
O2 0.3334 0.3334 0.3972
Ti1 0.6665 0.6665 0.5060
O3 0.6663 0.6663 0.8962
O4 0.0030 0.0030 0.1810
O5 0.0012 0.0012 0.6828
O6 0.3302 0.8394 0.3987
Co1 0.1690 0.1690 0.2891
Mn1 0.1699 0.6649 0.2856
O7 0.5160 0.9615 0.6673
O8 0.0386 0.4758 0.1674
Co2 0.8320 0.3367 0.7884
O9 0.1664 0.6687 0.8986
O10 0.9615 0.5160 0.6673
O11 0.4758 0.0386 0.1674
O12 0.8330 0.8330 0.4022
Ti2 0.3314 0.3314 0.0031
O13 0.8394 0.3302 0.3987
O14 0.5194 0.5194 0.6736
Mn2 0.8323 0.8323 0.7853
O15 0.4822 0.4822 0.1612
O16 0.6687 0.1664 0.8986
Co3 0.3367 0.8320 0.7884
Mn3 0.6649 0.1699 0.2856

=====

(6)
Below is crystalline TiMn2CoO6 at its relaxed geometry, with properties calculated at the PBE with a Hubbard U level.

Properties
VASP energy ... -7.654 eV per atom
V ... 107.0 Å³ per cell

a b c (Å): 5.1141 5.1144 5.5715
angles (deg): 62.68 62.69 59.99
Positions (direct):
O1 0.7299 0.1170 0.7626
O2 0.3903 0.7299 0.7627
Mn1 0.0119 0.0119 0.9645
O3 0.9467 0.6094 0.2322
O4 0.2119 0.9466 0.2322
Mn2 0.5220 0.5220 0.4340
O5 0.6094 0.2117 0.2323
O6 0.1169 0.3904 0.7628
Co1 0.8055 0.8056 0.5832
Ti1 0.3170 0.3171 0.0488

=====

(7)
Below is crystalline Ti3Mn2Co3O16 at its relaxed geometry, with properties calculated at the PBE with a Hubbard U level.

Properties
VASP energy ... -7.180 eV per atom
V ... 258.6 Å³ per cell

a b c (Å): 5.7712 5.7712 8.9100
angles (deg): 88.64 88.64 60.67
Positions (direct):
O1 0.9571 0.5175 0.1585
Co1 0.1714 0.1714 0.7875
O2 0.8275 0.8275 0.8961
O3 0.0067 0.0067 0.6823
Ti1 0.8454 0.8454 0.2903
Ti2 0.1733 0.6750 0.7936
O4 0.3250 0.3250 0.8996
O5 0.8263 0.3410 0.8995
O6 0.3410 0.8263 0.8995
O7 0.6625 0.6625 0.3972
O8 0.0129 0.0129 0.1828
O9 0.5237 0.5237 0.1708
Co2 0.3417 0.8352 0.2924
O10 0.1707 0.6626 0.3966
O11 0.0442 0.4663 0.6577
Ti3 0.6750 0.1733 0.7936
O12 0.1639 0.1639 0.3948
O13 0.4663 0.0442 0.6577
Mn1 0.3329 0.3329 0.5154
O14 0.5175 0.9571 0.1585
O15 0.6626 0.1707 0.3966
Mn2 0.6673 0.6673 0.0215
O16 0.4766 0.4766 0.6536
Co3 0.8352 0.3417 0.2924

=====

(8)
Below is crystalline TiMnCo2O6 at its relaxed geometry, with properties calculated at the PBE with a Hubbard U level.

Properties
VASP energy ... -7.237 eV per atom
V ... 101.3 Å³ per cell

a b c (Å): 4.9658 5.1007 5.5639
angles (deg): 60.58 62.14 59.65
Positions (direct):
Mn1 0.8083 0.8152 0.5631
Ti1 0.3212 0.3160 0.0436
O1 0.1044 0.4068 0.7577
O2 0.6132 0.1996 0.2484
O3 0.2066 0.9272 0.2505
O4 0.7225 0.1255 0.7639
O5 0.4022 0.7364 0.7664
Co1 0.5321 0.5139 0.4312
O6 0.9418 0.6085 0.2187
Co2 0.0094 0.0125 0.9716

=====

(9)
Below is crystalline Tm2MnCoO6 at its relaxed geometry, with properties calculated at the PBE with a Hubbard U level.

Properties
VASP energy ... -7.579 eV per atom
V ... 214.9 Å³ per cell

a b c (Å): 5.2179 5.6334 7.3107
angles (deg): 90.00 89.03 90.00
Positions (direct):
Tm1 0.0224 0.9206 0.2509
Mn1 0.5000 0.0000 0.5000
O1 0.8848 0.5393 0.2503
Co1 0.5000 0.0000 0.0000
O2 0.3037 0.6833 0.4429
O3 0.6963 0.3167 0.5571
O4 0.3177 0.6968 0.0545
O5 0.1152 0.4607 0.7497
O6 0.1963 0.1833 0.0571
Co2 0.0000 0.5000 0.5000
O7 0.8037 0.8167 0.9429
Mn2 0.0000 0.5000 0.0000
O8 0.8177 0.8032 0.5545
O9 0.3848 0.9607 0.7503
Tm2 0.5224 0.5794 0.7509
O10 0.1823 0.1968 0.4455
Tm3 0.9776 0.0794 0.7491
O11 0.6823 0.3032 0.9455
O12 0.6152 0.0393 0.2497
Tm4 0.4776 0.4206 0.2491

=====

(10)
Below is crystalline UMn2CoO8 at its relaxed geometry, with properties calculated at the PBE with a Hubbard U level.

Properties
VASP energy ... -7.758 eV per atom
V ... 136.4 Å³ per cell

a b c (Å): 4.7363 4.7353 6.0813
angles (deg): 90.00 90.00 89.22
Positions (direct):
Co1 0.0000 0.0000 0.0000
O1 0.3162 0.3159 0.0000
O2 0.2066 0.7930 0.2477
O3 0.2067 0.7931 0.7523
Mn1 0.5000 0.5000 0.7611
O4 0.7933 0.2069 0.2477
U1 0.0000 0.0000 0.5000
O5 0.6831 0.6834 0.5000
O6 0.3169 0.3166 0.5000
Mn2 0.5000 0.5000 0.2389
O7 0.7934 0.2070 0.7523
O8 0.6838 0.6841 0.0000

=====

(11)
Below is crystalline MnV4CoO12 at its relaxed geometry, with properties calculated at the PBE with a Hubbard U level.

Properties
VASP energy ... -7.433 eV per atom
V ... 261.4 Å³ per cell

a b c (Å): 6.8834 6.8834 5.9258
angles (deg): 74.82 74.82 84.18
Positions (direct):
O1 0.0878 0.6105 0.9826
O2 0.6314 0.6531 0.2980
O3 0.9035 0.3825 0.5234
O4 0.8086 0.9577 0.8795
O5 0.9569 0.8039 0.3985
O6 0.3716 0.3547 0.1987
Mn1 0.0875 0.9125 0.0000
O7 0.1961 0.0431 0.6015
V1 0.3883 0.2104 0.4941
O8 0.3895 0.9122 0.0174
V2 0.6154 0.7921 0.0005
O9 0.0423 0.1914 0.1205
O10 0.6453 0.6284 0.8013
V3 0.2079 0.3846 0.9995
V4 0.7896 0.6117 0.5059
Co1 0.9138 0.0862 0.5000
O11 0.6175 0.0965 0.4766
O12 0.3469 0.3686 0.7020

=====

(12)
Below is crystalline Mn2CoWO6 at its relaxed geometry, with properties calculated at the PBE with a Hubbard U level.

Properties
VASP energy ... -7.388 eV per atom
V ... 224.9 Å³ per cell

a b c (Å): 5.2833 5.4622 7.7948
angles (deg): 90.00 89.84 90.00
Positions (direct):
W1 0.0000 0.5000 0.0000
O1 0.8768 0.5616 0.2355
O2 0.6740 0.2969 0.5750
O3 0.8044 0.8155 0.5552
O4 0.1232 0.4384 0.7645
O5 0.3044 0.6845 0.0552
O6 0.1740 0.2031 0.0750
O7 0.6232 0.0616 0.2645
Co1 0.0000 0.5000 0.5000
Mn1 0.9869 0.0530 0.7446
Mn2 0.5131 0.5530 0.7554
O8 0.1956 0.1845 0.4448
O9 0.3260 0.7031 0.4250
O10 0.6956 0.3155 0.9448
W2 0.5000 0.0000 0.5000
Co2 0.5000 0.0000 0.0000
O11 0.3768 0.9384 0.7355
Mn3 0.4869 0.4470 0.2446
O12 0.8260 0.7969 0.9250
Mn4 0.0131 0.9470 0.2554

=====

(13)
Below is crystalline MnCoWO6 at its relaxed geometry, with properties calculated at the PBE with a Hubbard U level.

Properties
VASP energy ... -7.037 eV per atom
V ... 199.4 Å³ per cell

a b c (Å): 5.0437 5.0437 9.0496
angles (deg): 90.00 90.00 120.00
Positions (direct):
W1 0.3333 0.6667 0.2500
O1 0.3519 0.9979 0.6334
O2 0.6481 0.0021 0.3666
Mn1 0.3333 0.6667 0.7500
O3 0.3540 0.3519 0.3666
O4 0.0021 0.3540 0.6334
Mn2 0.6667 0.3333 0.2500
O5 0.9979 0.6460 0.3666
Co1 0.0000 0.0000 0.0000
O6 0.3519 0.3540 0.8666
O7 0.3540 0.0021 0.1334
Co2 0.0000 0.0000 0.5000
O8 0.6460 0.9979 0.8666
O9 0.6481 0.6460 0.1334
W2 0.6667 0.3333 0.7500
O10 0.6460 0.6481 0.6334
O11 0.9979 0.3519 0.1334
O12 0.0021 0.6481 0.8666

=====

(14)
Below is crystalline Yb2MnCoO6 at its relaxed geometry, with properties calculated at the PBE with a Hubbard U level.

Properties
VASP energy ... -6.578 eV per atom
V ... 215.5 Å³ per cell

a b c (Å): 5.4571 5.2634 9.1479
angles (deg): 55.11 90.00 90.00
Positions (direct):
O1 0.9746 0.3410 0.2503
Yb1 0.9397 0.2349 0.7505
O2 0.2968 0.2532 0.0471
O3 0.4746 0.6590 0.2497
O4 0.5254 0.3410 0.7503
O5 0.7032 0.7468 0.9529
Mn1 0.0000 0.5000 0.0000
O6 0.2977 0.8463 0.4537
Yb2 0.4397 0.7651 0.7495
Co1 0.5000 0.0000 0.0000
Co2 0.0000 0.0000 0.5000
O7 0.7023 0.1537 0.5463
O8 0.7977 0.1537 0.0463
O9 0.2032 0.2532 0.5471
Yb3 0.5603 0.2349 0.2505
O10 0.2023 0.8463 0.9537
O11 0.7968 0.7468 0.4529
Yb4 0.0603 0.7651 0.2495
O12 0.0254 0.6590 0.7497
Mn2 0.5000 0.5000 0.5000